No. 1
Density functional theory data (PBE) for Rh2ClO after structural relaxation.

Properties
Calculated volume: 51.1 Å³/f.u.
Mass density: 8.36 g/cm3
Energy relative to the elements, uncorrected: 0.5903 eV/atom
Total moment: 1.47 μB/cell
Space group: No. 225
Offset from the most stable computed form: 1.952 eV/f.u.

Cell lengths 4.165, 4.165, 4.165 Å; angles 60.00, 60.00, 60.00 degrees
Positions (direct):
Rh  0.250  0.250  0.250
Rh  0.750  0.750  0.750
O  0.000  0.000  0.000
Cl  0.500  0.500  0.500



No. 2
Density functional theory data (PBE) for YMnAs2 after structural relaxation.

Properties
Calculated volume: 109.8 Å³/f.u.
E_form: -0.35 eV per atom
Mass density: 4.44 g/cm3
Total moment: 8.00 μB/cell
Space group: No. 122
Offset from the most stable computed form: 1.401 eV/f.u.

Cell lengths 5.716, 5.716, 7.842 Å; angles 68.63, 68.63, 90.00 degrees
Positions (direct):
Y  0.000  0.000  0.000
Y  0.750  0.250  0.500
As  0.567  0.125  0.250
As  0.183  0.625  0.250
As  0.375  0.433  0.750
As  0.875  0.817  0.750
Mn  0.500  0.500  0.000
Mn  0.250  0.750  0.500



No. 3
Density functional theory data (PBE) for CaTi3H after structural relaxation.

Properties
Calculated volume: 111.5 Å³/f.u.
Mass density: 2.75 g/cm3
Total moment: 2.91 μB/cell
Space group: No. 221
Offset from the most stable computed form: 10.346 eV/f.u.

Cell lengths 4.813, 4.813, 4.813 Å; angles 90.00, 90.00, 90.00 degrees
Positions (direct):
H  0.500  0.500  0.500
Ca  0.000  0.000  0.000
Ti  0.000  0.500  0.000
Ti  0.000  0.000  0.500
Ti  0.500  0.000  0.000



No. 4
Density functional theory data (PBE) for CePm12Ru7 after structural relaxation.

Properties
Calculated volume: 571.3 Å³/f.u.
E_form: -0.18 eV per atom
Mass density: 7.52 g/cm3
Total moment: 0.00 μB/cell
Space group: No. 148

Cell lengths 9.044, 9.044, 9.044 Å; angles 109.39, 109.39, 109.39 degrees
Positions (direct):
Ce  0.000  0.000  0.000
Pm  0.903  0.340  0.756
Pm  0.660  0.244  0.097
Pm  0.424  0.133  0.345
Pm  0.867  0.655  0.576
Pm  0.244  0.097  0.660
Pm  0.655  0.576  0.867
Pm  0.345  0.424  0.133
Pm  0.756  0.903  0.340
Pm  0.133  0.345  0.424
Pm  0.576  0.867  0.655
Pm  0.340  0.756  0.903
Pm  0.097  0.660  0.244
Ru  0.041  0.718  0.948
Ru  0.282  0.052  0.959
Ru  0.052  0.959  0.282
Ru  0.500  0.500  0.500
Ru  0.948  0.041  0.718
Ru  0.718  0.948  0.041
Ru  0.959  0.282  0.052



No. 5
Density functional theory data (PBE) for YTaBe3 after structural relaxation.

Properties
Calculated volume: 90.8 Å³/f.u.
E_form: 0.81 eV per atom
Mass density: 5.43 g/cm3
Total moment: 0.00 μB/cell
Space group: No. 221
Offset from the most stable computed form: 0.000 eV/f.u.

Cell lengths 4.494, 4.494, 4.494 Å; angles 90.00, 90.00, 90.00 degrees
Positions (direct):
Y  0.500  0.500  0.500
Be  0.000  0.500  0.000
Be  0.000  0.000  0.500
Be  0.500  0.000  0.000
Ta  0.000  0.000  0.000



No. 6
Density functional theory data (PBE) for La2CeHoSe4 after structural relaxation.

Properties
Calculated volume: 213.0 Å³/f.u.
Mass density: 7.01 g/cm3
Energy relative to the elements, uncorrected: -1.8859 eV/atom
Total moment: 0.97 μB/cell
Space group: No. 10

Cell lengths 4.195, 7.318, 7.344 Å; angles 109.13, 90.00, 90.00 degrees
Positions (direct):
La  0.500  0.000  0.500
La  0.000  0.500  0.500
Ce  0.500  0.500  0.000
Ho  0.000  0.000  0.000
Se  0.500  0.238  0.233
Se  0.500  0.762  0.767
Se  0.000  0.248  0.762
Se  0.000  0.752  0.238



No. 7
Density functional theory data (PBE) for Cs3TbNd2S6 after structural relaxation.

Properties
Calculated volume: 372.7 Å³/f.u.
Mass density: 4.63 g/cm3
Energy relative to the elements, uncorrected: -1.8159 eV/atom
Total moment: 0.00 μB/cell
Space group: No. 12

Cell lengths 7.292, 7.292, 8.450 Å; angles 98.27, 98.27, 120.00 degrees
Positions (direct):
Cs  0.168  0.832  0.500
Cs  0.832  0.168  0.500
Cs  0.500  0.500  0.500
Tb  0.000  0.000  0.000
Nd  0.333  0.667  0.000
Nd  0.667  0.333  0.000
S  0.938  0.612  0.815
S  0.736  0.736  0.185
S  0.062  0.388  0.185
S  0.612  0.938  0.815
S  0.264  0.264  0.815
S  0.388  0.062  0.185



No. 8
Density functional theory data (PBE) for CdInTc2O8 after structural relaxation.

Properties
Calculated volume: 232.1 Å³/f.u.
Mass density: 3.94 g/cm3
Energy relative to the elements, uncorrected: -1.1888 eV/atom
Total moment: 0.00 μB/cell
Space group: No. 147

Cell lengths 5.741, 5.741, 8.132 Å; angles 90.00, 90.00, 120.00 degrees
Positions (direct):
Cd  0.000  0.000  0.000
In  0.000  0.000  0.500
Tc  0.667  0.333  0.274
Tc  0.333  0.667  0.726
O  0.333  0.667  0.937
O  0.346  0.272  0.344
O  0.728  0.075  0.344
O  0.667  0.333  0.063
O  0.272  0.925  0.656
O  0.654  0.728  0.656
O  0.075  0.346  0.656
O  0.925  0.654  0.344



No. 9
Density functional theory data (PBE) for TbYBeAl after structural relaxation.

Properties
Calculated volume: 88.4 Å³/f.u.
E_form: -0.14 eV per atom
Mass density: 5.33 g/cm3
Total moment: 0.00 μB/cell
Space group: No. 216

Cell lengths 5.001, 5.001, 5.001 Å; angles 60.00, 60.00, 60.00 degrees
Positions (direct):
Y  0.750  0.750  0.750
Be  0.000  0.000  0.000
Tb  0.250  0.250  0.250
Al  0.500  0.500  0.500



No. 10
Density functional theory data (PBE) for RuPt2Cl after structural relaxation.

Properties
Calculated volume: 66.1 Å³/f.u.
Mass density: 13.22 g/cm3
Energy relative to the elements, uncorrected: 0.3555 eV/atom
Total moment: 0.00 μB/cell
Space group: No. 35
Offset from the most stable computed form: 0.475 eV/f.u.

Cell lengths 2.834, 2.834, 9.685 Å; angles 90.00, 90.00, 121.76 degrees
Positions (direct):
Cl  0.500  0.500  0.706
Pt  0.000  0.000  0.019
Pt  0.500  0.500  0.270
Ru  0.000  0.000  0.506



No. 11
Density functional theory data (PBE) for Nd3SnHg after structural relaxation.

Properties
Calculated volume: 159.7 Å³/f.u.
E_form: -0.42 eV per atom
Mass density: 7.82 g/cm3
Total moment: 0.00 μB/cell
Space group: No. 15

Cell lengths 9.110, 8.383, 8.383 Å; angles 86.38, 89.99, 89.99 degrees
Positions (direct):
Nd  0.581  0.803  0.019
Nd  0.919  0.981  0.197
Nd  0.419  0.197  0.981
Nd  0.081  0.019  0.803
Nd  0.821  0.428  0.072
Nd  0.679  0.928  0.572
Nd  0.179  0.572  0.928
Nd  0.321  0.072  0.428
Nd  0.581  0.483  0.698
Nd  0.919  0.302  0.517
Nd  0.419  0.517  0.302
Nd  0.081  0.698  0.483
Sn  0.250  0.855  0.145
Sn  0.750  0.145  0.855
Sn  0.250  0.356  0.644
Sn  0.750  0.644  0.356
Hg  0.869  0.701  0.802
Hg  0.631  0.198  0.299
Hg  0.131  0.299  0.198
Hg  0.369  0.802  0.701



No. 12
Density functional theory data (PBE) for Zr12Bi6N after structural relaxation.

Properties
Calculated volume: 473.6 Å³/f.u.
Mass density: 8.28 g/cm3
Energy relative to the elements, uncorrected: -0.2536 eV/atom
Total moment: 0.00 μB/cell
Space group: No. 148

Cell lengths 7.984, 7.984, 7.984 Å; angles 101.46, 101.46, 101.46 degrees
Positions (direct):
Zr  0.797  0.598  0.492
Zr  0.492  0.797  0.598
Zr  0.598  0.492  0.797
Zr  0.203  0.402  0.508
Zr  0.508  0.203  0.402
Zr  0.402  0.508  0.203
Zr  0.061  0.017  0.291
Zr  0.983  0.709  0.939
Zr  0.709  0.939  0.983
Zr  0.939  0.983  0.709
Zr  0.017  0.291  0.061
Zr  0.291  0.061  0.017
Bi  0.686  0.893  0.337
Bi  0.663  0.314  0.107
Bi  0.107  0.663  0.314
Bi  0.314  0.107  0.663
Bi  0.337  0.686  0.893
Bi  0.893  0.337  0.686
N  0.000  0.000  0.000